# 1
This record from the Alexandria database describes a relaxed structure of RuCl. The functional is PBE.

```
RuCl
1.0
-4.100 0.323 1.767
-1.979 -3.619 1.738
-0.561 -0.335 4.428
Ru Cl
2 2
Cartesian
-1.660 -0.908 1.983
-3.320 -1.815 3.967
0.000 0.000 0.000
-4.980 -2.723 5.950
```

Properties
N(E_F): 0.998 states/eV/atom

=====

# 2
This record from the Alexandria database describes a relaxed structure of RuCl. The functional is PBE.

```
RuCl
1.0
7.231 0.022 -0.016
6.150 3.774 -0.017
0.587 0.170 2.835
Cl Ru
2 2
Cartesian
10.556 2.651 2.105
6.838 3.642 2.816
4.186 0.846 0.566
6.471 1.503 1.537
```

Properties
N(E_F): 1.450 states/eV/atom

=====

# 3
This record from the Alexandria database describes a relaxed structure of Ru2Cl. The functional is PBE.

```
Ru2Cl
1.0
4.503 0.000 0.000
0.000 4.624 0.000
0.000 0.000 9.592
Ru Cl
8 4
Cartesian
3.377 4.427 5.350
3.377 2.382 1.981
1.126 2.242 7.611
1.126 4.554 6.777
3.377 2.115 9.038
3.377 0.070 2.815
1.126 2.509 0.554
1.126 0.197 4.242
3.377 2.186 5.992
1.126 2.438 3.600
3.377 4.498 8.396
1.126 0.126 1.196
```

Properties
N(E_F): 0.781 states/eV/atom

=====

# 4
This record from the Alexandria database describes a relaxed structure of RuCl. The functional is PBE.

```
RuCl
1.0
3.937 0.000 0.000
0.000 3.937 0.000
0.000 0.000 5.300
Cl Ru
2 2
Cartesian
2.952 2.952 3.943
0.984 0.984 1.358
2.952 0.984 0.000
0.984 2.952 0.000
```

Properties
N(E_F): 1.447 states/eV/atom

=====

# 5
This record from the Alexandria database describes a relaxed structure of RuCl. The functional is PBE.

```
RuCl
1.0
9.894 0.000 0.000
0.000 4.523 0.000
0.000 0.000 5.392
Ru Cl
6 6
Cartesian
0.000 4.384 1.929
7.203 4.259 5.049
2.255 0.265 2.353
4.947 0.139 4.625
2.692 4.259 5.049
7.639 0.265 2.353
3.175 2.853 1.457
8.122 1.670 4.153
4.947 2.326 3.942
0.000 2.197 1.246
1.773 1.670 4.153
6.720 2.853 1.457
```

Properties
N(E_F): 0.888 states/eV/atom

=====

# 6
This record from the Alexandria database describes a relaxed structure of RuCl. The functional is PBE.

```
RuCl
1.0
4.229 0.000 0.000
0.000 3.949 0.000
0.000 0.000 6.519
Ru Cl
2 2
Cartesian
2.115 0.000 4.977
2.115 1.975 3.715
0.000 0.000 5.893
0.000 1.975 2.799
```

Properties
N(E_F): 1.093 states/eV/atom

=====

# 7
This record from the Alexandria database describes a relaxed structure of RuCl5. The functional is PBE.

```
RuCl5
1.0
-2.080 -1.690 6.043
0.836 0.323 6.549
-5.205 6.116 5.665
Cl Ru
5 1
Cartesian
-2.513 2.484 4.598
-1.612 1.570 3.044
-4.854 4.690 9.305
-4.400 3.070 13.134
-0.161 -0.003 0.940
-5.638 4.595 14.200
```

Properties
N(E_F): 0.765 states/eV/atom

=====

# 8
This record from the Alexandria database describes a relaxed structure of Ru4Cl. The functional is PBE.

```
Ru4Cl
1.0
4.291 0.000 0.000
0.000 4.291 0.000
0.000 0.000 4.291
Ru Cl
4 1
Cartesian
0.000 2.145 2.145
2.145 0.000 2.145
2.145 2.145 0.000
0.000 0.000 0.000
2.145 2.145 2.145
```

Properties
N(E_F): 1.586 states/eV/atom

=====

# 9
This record from the Alexandria database describes a relaxed structure of Ru2Cl. The functional is PBE.

```
Ru2Cl
1.0
-5.052 -2.109 2.996
3.818 -4.007 -2.883
2.157 -0.373 3.375
Ru Cl
6 3
Cartesian
0.636 -2.380 1.728
-1.286 -0.537 0.763
3.527 -2.757 -0.162
0.972 -1.020 -0.734
-0.920 -4.559 0.084
-2.162 -1.539 3.609
1.079 -0.187 1.687
0.861 -3.374 -0.923
-2.095 -2.742 1.036
```

Properties
N(E_F): 1.828 states/eV/atom

=====

# 10
This record from the Alexandria database describes a relaxed structure of RuCl. The functional is PBE.

```
RuCl
1.0
1.467 6.160 0.049
-1.467 6.160 0.049
0.000 3.969 6.451
Cl Ru
3 3
Cartesian
0.000 6.957 3.322
0.000 8.411 0.213
0.000 15.481 5.800
0.000 4.013 0.907
0.000 11.094 2.802
0.000 2.977 3.392
```

Properties
N(E_F): 0.774 states/eV/atom

=====

# 11
This record from the Alexandria database describes a relaxed structure of Ru2Cl. The functional is PBE.

```
Ru2Cl
1.0
-2.421 -2.918 1.280
1.338 -2.698 2.636
-1.360 0.035 3.764
Ru Cl
2 1
Cartesian
-1.833 -4.186 5.760
-0.611 -1.395 1.920
0.000 0.000 0.000
```

Properties
N(E_F): 1.480 states/eV/atom

=====

# 12
This record from the Alexandria database describes a relaxed structure of Ru2Cl. The functional is PBE.

```
Ru2Cl
1.0
-0.042 2.676 1.075
-2.126 -1.843 0.635
3.151 -1.933 4.937
Ru Cl
2 1
Cartesian
1.336 -0.102 4.177
-0.354 -0.998 2.470
0.000 0.000 0.000
```

Properties
N(E_F): 0.639 states/eV/atom

=====

# 13
This record from the Alexandria database describes a relaxed structure of RuCl. The functional is PBE.

```
RuCl
1.0
-1.617 -4.830 -2.719
1.058 -4.196 -3.822
2.692 -5.814 3.187
Cl Ru
3 3
Cartesian
0.235 -0.764 0.131
1.030 -5.209 -0.496
1.942 -8.178 0.011
1.316 -9.106 -2.041
2.103 -11.722 -1.634
0.687 -2.988 -0.051
```

Properties
N(E_F): 1.336 states/eV/atom

=====

# 14
This record from the Alexandria database describes a relaxed structure of RuCl. The functional is PBE.

```
RuCl
1.0
-0.981 1.784 3.544
-2.695 -2.430 -1.880
1.892 -4.101 2.588
Ru Cl
2 2
Cartesian
0.946 -2.051 1.294
0.000 0.000 0.000
-0.133 -2.697 3.677
-1.651 -2.051 0.575
```

Properties
N(E_F): 1.389 states/eV/atom

=====

# 15
This record from the Alexandria database describes a relaxed structure of Ru2Cl. The functional is PBE.

```
Ru2Cl
1.0
-2.470 3.217 0.207
-1.416 -3.565 -1.333
-1.532 -1.547 5.763
Ru Cl
4 2
Cartesian
-0.766 -0.774 2.882
0.000 0.000 0.000
-2.916 -2.465 3.503
-2.502 0.569 1.134
-2.150 -1.691 0.621
-3.268 -0.204 4.016
```

Properties
N(E_F): 0.848 states/eV/atom

=====

# 16
This record from the Alexandria database describes a relaxed structure of RuCl5. The functional is PBE.

```
RuCl5
1.0
2.940 0.000 0.000
0.000 2.940 0.000
0.000 0.000 17.840
Cl Ru
5 1
Cartesian
0.000 0.000 8.920
0.000 0.000 16.225
1.470 1.470 4.942
0.000 0.000 1.614
1.470 1.470 12.898
1.470 1.470 0.000
```

Properties
N(E_F): 1.122 states/eV/atom

=====

# 17
This record from the Alexandria database describes a relaxed structure of Ru4Cl. The functional is PBE.

```
Ru4Cl
1.0
4.193 -2.130 -0.588
-2.483 0.934 3.927
-2.840 -3.214 -2.018
Ru Cl
4 1
Cartesian
-0.417 -2.470 -0.670
-3.024 -2.342 0.711
-0.713 -1.939 1.992
1.895 -2.067 0.611
0.000 0.000 0.000
```

Properties
N(E_F): 1.146 states/eV/atom

=====

# 18
This record from the Alexandria database describes a relaxed structure of RuCl. The functional is PBE.

```
RuCl
1.0
-0.984 0.199 -4.953
-4.944 -0.413 0.966
-0.367 5.033 0.275
Ru Cl
4 4
Cartesian
-3.147 2.410 -1.856
-0.492 0.100 -2.477
-2.472 -0.206 0.483
-0.183 2.517 0.138
-2.964 -0.107 -1.994
-2.655 2.310 0.621
-0.676 2.616 -2.339
0.000 0.000 0.000
```

Properties
N(E_F): 1.767 states/eV/atom

=====

# 19
This record from the Alexandria database describes a relaxed structure of RuCl. The functional is PBE.

```
RuCl
1.0
-2.738 0.365 -1.382
1.149 -1.215 -2.597
-0.850 -2.816 0.941
Ru Cl
1 1
Cartesian
-1.220 -1.833 -1.519
0.000 0.000 0.000
```

Properties
N(E_F): 1.394 states/eV/atom

=====

# 20
This record from the Alexandria database describes a relaxed structure of RuCl. The functional is PBE.

```
RuCl
1.0
3.008 0.000 0.000
-1.504 2.605 0.000
0.000 0.000 9.337
Ru Cl
2 2
Cartesian
0.000 0.000 4.877
1.504 0.868 6.794
1.504 0.868 3.004
0.000 0.000 8.667
```

Properties
N(E_F): 1.259 states/eV/atom

=====

| no. | E_form (uncorrected) (eV per atom) |
| --- | --- |
| 1 | 0.9668 |
| 2 | 0.6051 |
| 3 | 0.6258 |
| 4 | 0.6370 |
| 5 | 0.4348 |
| 6 | 0.2979 |
| 7 | -0.1799 |
| 8 | 1.4044 |
| 9 | 1.1722 |
| 10 | 0.2890 |
| 11 | 1.2441 |
| 12 | 0.3748 |
| 13 | 0.4245 |
| 14 | 0.8649 |
| 15 | 1.1098 |
| 16 | 0.4706 |
| 17 | 0.7763 |
| 18 | 1.1073 |
| 19 | 1.0008 |
| 20 | 0.2432 |